Computed, not measured: a PBEsol-optimized structure of Hg2Au at the SCAN level of DFT.

Values from the calculation:
The value obtained for the density of states at the Fermi level is 1.9 states/eV per cell. For the total energy, the calculation gives -68.417 eV/atom. The calculation puts the mass density at 15.725 g cm⁻³. As for the crystal system: monoclinic.

a b c (Å): 2.978 7.281 6.805
angles (deg): 62.07 77.36 78.20
Fractional coordinates of all 6 atoms:
1 Au 0.004 0.908 0.084
2 Au 0.718 0.648 0.917
3 Hg 0.361 0.778 0.500
4 Hg 0.091 0.464 0.354
5 Hg 0.361 0.278 0.000
6 Hg 0.631 0.092 0.646

Computed, not measured: a PBEsol-optimized structure of Hg2Au at the SCAN level of DFT.

Values from the calculation:
The value obtained for the density of states at the Fermi level is 3.9 states/eV per cell. For the total energy, the calculation gives -68.431 eV/atom. The calculation puts the mass density at 15.843 g cm⁻³. As for the crystal system: orthorhombic.

a b c (Å): 3.770 7.228 9.203
angles (deg): 90.00 90.00 90.00
Fractional coordinates of all 12 atoms:
1 Au 0.750 0.765 0.130
2 Au 0.250 0.735 0.630
3 Au 0.750 0.265 0.370
4 Au 0.250 0.235 0.870
5 Hg 0.750 0.943 0.834
6 Hg 0.750 0.869 0.422
7 Hg 0.250 0.631 0.922
8 Hg 0.250 0.557 0.334
9 Hg 0.750 0.443 0.666
10 Hg 0.750 0.369 0.078
11 Hg 0.250 0.131 0.578
12 Hg 0.250 0.057 0.166

Computed, not measured: a PBEsol-optimized structure of HgAu2 at the SCAN level of DFT.

Values from the calculation:
The value obtained for the density of states at the Fermi level is 1.9 states/eV per cell. For the total energy, the calculation gives -68.738 eV/atom. The calculation puts the mass density at 18.174 g cm⁻³. As for the crystal system: monoclinic.

a b c (Å): 2.977 5.599 6.996
angles (deg): 104.35 90.00 105.41
Fractional coordinates of all 6 atoms:
1 Au 0.000 0.001 0.004
2 Au 0.391 0.781 0.277
3 Au 0.670 0.340 0.333
4 Au 0.331 0.662 0.666
5 Hg 0.051 0.101 0.603
6 Hg 0.724 0.448 0.950

Computed, not measured: a PBEsol-optimized structure of HgAu7 at the SCAN level of DFT.

Values from the calculation:
The value obtained for the density of states at the Fermi level is 2.6 states/eV per cell. For the total energy, the calculation gives -69.002 eV/atom. The calculation puts the mass density at 18.885 g cm⁻³. As for the crystal system: cubic.

a b c (Å): 5.813 5.813 5.813
angles (deg): 60.00 60.00 60.00
Fractional coordinates of all 8 atoms:
1 Au 0.500 0.000 0.000
2 Au 0.500 0.500 0.000
3 Au 0.000 0.500 0.000
4 Au 0.500 0.000 0.500
5 Au 0.000 0.000 0.500
6 Au 0.000 0.500 0.500
7 Au 0.500 0.500 0.500
8 Hg 0.000 0.000 0.000

Computed, not measured: a PBEsol-optimized structure of HgAu3 at the SCAN level of DFT.

Values from the calculation:
The value obtained for the density of states at the Fermi level is 0.9 states/eV per cell. For the total energy, the calculation gives -68.843 eV/atom. The calculation puts the mass density at 18.445 g cm⁻³. As for the crystal system: monoclinic.

a b c (Å): 2.998 5.012 5.050
angles (deg): 99.73 90.00 107.40
Fractional coordinates of all 4 atoms:
1 Au 0.747 0.494 0.745
2 Au 0.253 0.506 0.255
3 Au 0.000 0.000 0.500
4 Hg 0.500 0.000 0.000

Computed, not measured: a PBEsol-optimized structure of HgAu3 at the SCAN level of DFT.

Values from the calculation:
The value obtained for the density of states at the Fermi level is 1.2 states/eV per cell. For the total energy, the calculation gives -68.839 eV/atom. The calculation puts the mass density at 18.453 g cm⁻³. As for the crystal system: orthorhombic.

a b c (Å): 2.993 4.095 5.810
angles (deg): 90.00 90.00 90.00
Fractional coordinates of all 4 atoms:
1 Au 0.000 0.000 0.744
2 Au 0.000 0.000 0.256
3 Au 0.500 0.500 0.500
4 Hg 0.500 0.500 0.000

Computed, not measured: a PBEsol-optimized structure of HgAu3 at the SCAN level of DFT.

Values from the calculation:
The value obtained for the density of states at the Fermi level is 3.3 states/eV per cell. For the total energy, the calculation gives -68.851 eV/atom. The calculation puts the mass density at 18.519 g cm⁻³. As for the crystal system: hexagonal.

a b c (Å): 4.866 5.804 5.804
angles (deg): 120.00 90.00 90.00
Fractional coordinates of all 8 atoms:
1 Au 0.750 0.165 0.330
2 Au 0.250 0.835 0.670
3 Au 0.750 0.165 0.835
4 Au 0.250 0.835 0.165
5 Au 0.750 0.670 0.835
6 Au 0.250 0.330 0.165
7 Hg 0.750 0.667 0.333
8 Hg 0.250 0.333 0.667

Computed, not measured: a PBEsol-optimized structure of HgAu2 at the SCAN level of DFT.

Values from the calculation:
The value obtained for the density of states at the Fermi level is 0.9 states/eV per cell. For the total energy, the calculation gives -68.699 eV/atom. The calculation puts the mass density at 17.838 g cm⁻³. As for the crystal system: hexagonal.

a b c (Å): 2.799 4.778 4.778
angles (deg): 120.00 90.00 90.00
Fractional coordinates of all 3 atoms:
1 Au 0.500 0.667 0.333
2 Au 0.500 0.333 0.667
3 Hg 0.000 0.000 0.000

Result set for calculated formation energy: 79 65 88 32 66 70 58 127 meV per atom, one per record in the order listed.